The following is a DFT calculation (PBE) of Er5MnCu4 after structural relaxation.

a = 3.4100 Å, b = 3.4100 Å, c = 17.5962 Å
α = 90.00°, β = 90.00°, γ = 90.00°
Atoms (fractional coordinates):
Er1 0.0000 0.0000 0.0000
Er2 0.0000 0.0000 0.1981
Er3 0.0000 0.0000 0.3967
Er4 0.0000 0.0000 0.6033
Er5 0.0000 0.0000 0.8019
Mn1 0.5000 0.5000 0.5000
Cu1 0.5000 0.5000 0.0979
Cu2 0.5000 0.5000 0.2976
Cu3 0.5000 0.5000 0.7024
Cu4 0.5000 0.5000 0.9021

Values from the calculation:
Magnetic moment, Bohr magnetons per cell: 3.2
Uncorrected energy, eV per atom: -5.02


The following is a DFT calculation (PBE) of ErMnCu after structural relaxation.

a = 4.9841 Å, b = 7.8763 Å, c = 5.6336 Å
α = 90.00°, β = 90.00°, γ = 90.00°
Atoms (fractional coordinates):
Er1 0.0000 0.1563 0.2500
Er2 0.0000 0.8437 0.7500
Er3 0.5000 0.3437 0.7500
Er4 0.5000 0.6563 0.2500
Mn1 0.0000 0.5000 0.0000
Mn2 0.0000 0.5000 0.5000
Mn3 0.5000 0.0000 0.0000
Mn4 0.5000 0.0000 0.5000
Cu1 0.0000 0.1971 0.7500
Cu2 0.0000 0.8029 0.2500
Cu3 0.5000 0.3029 0.2500
Cu4 0.5000 0.6971 0.7500

Values from the calculation:
Magnetic moment, Bohr magnetons per cell: 13.4
Uncorrected energy, eV per atom: -5.88


The following is a DFT calculation (PBE) of Er2MnCu3Ni12 after structural relaxation.

a = 9.2241 Å, b = 9.2241 Å, c = 9.2241 Å
α = 37.18°, β = 37.18°, γ = 37.18°
Atoms (fractional coordinates):
Er1 0.1500 0.1500 0.1500
Er2 0.8500 0.8500 0.8500
Mn1 0.5000 0.5000 0.5000
Cu1 0.0000 0.5000 0.5000
Cu2 0.5000 0.0000 0.5000
Cu3 0.5000 0.5000 0.0000
Ni1 0.0789 0.0789 0.6872
Ni2 0.0789 0.6872 0.0789
Ni3 0.1415 0.5765 0.5765
Ni4 0.3128 0.9211 0.9211
Ni5 0.4235 0.4235 0.8585
Ni6 0.4235 0.8585 0.4235
Ni7 0.5765 0.1415 0.5765
Ni8 0.5765 0.5765 0.1415
Ni9 0.6872 0.0789 0.0789
Ni10 0.8585 0.4235 0.4235
Ni11 0.9211 0.3128 0.9211
Ni12 0.9211 0.9211 0.3128

Values from the calculation:
Magnetic moment, Bohr magnetons per cell: 5.3
Uncorrected energy, eV per atom: -5.33


The following is a DFT calculation (PBE) of Er2MnCu2Ni5 after structural relaxation.

a = 8.8689 Å, b = 8.8689 Å, c = 3.6737 Å
α = 90.00°, β = 90.00°, γ = 90.00°
Atoms (fractional coordinates):
Er1 0.1797 0.3203 0.0000
Er2 0.3203 0.8203 0.0000
Er3 0.6797 0.1797 0.0000
Er4 0.8203 0.6797 0.0000
Mn1 0.0000 0.0000 0.0000
Mn2 0.5000 0.5000 0.0000
Cu1 0.1176 0.6176 0.0000
Cu2 0.3824 0.1176 0.0000
Cu3 0.6176 0.8824 0.0000
Cu4 0.8824 0.3824 0.0000
Ni1 0.0000 0.5000 0.5000
Ni2 0.0595 0.7965 0.5000
Ni3 0.2035 0.0595 0.5000
Ni4 0.2965 0.5595 0.5000
Ni5 0.4405 0.2965 0.5000
Ni6 0.5000 0.0000 0.5000
Ni7 0.5595 0.7035 0.5000
Ni8 0.7035 0.4405 0.5000
Ni9 0.7965 0.9405 0.5000
Ni10 0.9405 0.2035 0.5000

Values from the calculation:
Magnetic moment, Bohr magnetons per cell: 8.8
Uncorrected energy, eV per atom: -5.76


The following is a DFT calculation (PBE) of Er2MnCu12Ni3 after structural relaxation.

a = 11.9560 Å, b = 11.9560 Å, c = 11.9560 Å
α = 24.72°, β = 24.72°, γ = 24.72°
Atoms (fractional coordinates):
Er1 0.1440 0.1440 0.1440
Er2 0.8560 0.8560 0.8560
Mn1 0.5000 0.5000 0.5000
Cu1 0.1050 0.1050 0.6285
Cu2 0.1050 0.6285 0.1050
Cu3 0.1092 0.6091 0.6091
Cu4 0.3715 0.8950 0.8950
Cu5 0.3909 0.3909 0.8908
Cu6 0.3909 0.8908 0.3909
Cu7 0.6091 0.1092 0.6091
Cu8 0.6091 0.6091 0.1092
Cu9 0.6285 0.1050 0.1050
Cu10 0.8908 0.3909 0.3909
Cu11 0.8950 0.3715 0.8950
Cu12 0.8950 0.8950 0.3715
Ni1 0.0000 0.5000 0.5000
Ni2 0.5000 0.0000 0.5000
Ni3 0.5000 0.5000 0.0000

Values from the calculation:
Magnetic moment, Bohr magnetons per cell: 4.5
Uncorrected energy, eV per atom: -4.51


The following is a DFT calculation (PBE) of ErPuMnCu after structural relaxation.

a = 6.8687 Å, b = 6.8687 Å, c = 6.8687 Å
α = 90.00°, β = 90.00°, γ = 90.00°
Atoms (fractional coordinates):
Er1 0.0000 0.0000 0.0000
Er2 0.0000 0.5000 0.5000
Er3 0.5000 0.0000 0.5000
Er4 0.5000 0.5000 0.0000
Pu1 0.0000 0.0000 0.5000
Pu2 0.0000 0.5000 0.0000
Pu3 0.5000 0.0000 0.0000
Pu4 0.5000 0.5000 0.5000
Mn1 0.2500 0.2500 0.7500
Mn2 0.2500 0.7500 0.2500
Mn3 0.7500 0.2500 0.2500
Mn4 0.7500 0.7500 0.7500
Cu1 0.2500 0.2500 0.2500
Cu2 0.2500 0.7500 0.7500
Cu3 0.7500 0.2500 0.7500
Cu4 0.7500 0.7500 0.2500

Values from the calculation:
Magnetic moment, Bohr magnetons per cell: 11.0
Uncorrected energy, eV per atom: -7.97


The following is a DFT calculation (PBE) of ErMnCuRh after structural relaxation.

a = 6.4790 Å, b = 6.4790 Å, c = 6.4790 Å
α = 90.00°, β = 90.00°, γ = 90.00°
Atoms (fractional coordinates):
Er1 0.0000 0.0000 0.0000
Er2 0.0000 0.5000 0.5000
Er3 0.5000 0.0000 0.5000
Er4 0.5000 0.5000 0.0000
Mn1 0.0000 0.0000 0.5000
Mn2 0.0000 0.5000 0.0000
Mn3 0.5000 0.0000 0.0000
Mn4 0.5000 0.5000 0.5000
Cu1 0.2500 0.2500 0.2500
Cu2 0.2500 0.7500 0.7500
Cu3 0.7500 0.2500 0.7500
Cu4 0.7500 0.7500 0.2500
Rh1 0.2500 0.2500 0.7500
Rh2 0.2500 0.7500 0.2500
Rh3 0.7500 0.2500 0.2500
Rh4 0.7500 0.7500 0.7500

Values from the calculation:
Magnetic moment, Bohr magnetons per cell: 17.1
Uncorrected energy, eV per atom: -6.55


The following is a DFT calculation (PBE) of SmErMnCu after structural relaxation.

a = 7.0474 Å, b = 7.0474 Å, c = 7.0474 Å
α = 90.00°, β = 90.00°, γ = 90.00°
Atoms (fractional coordinates):
Sm1 0.0000 0.0000 0.0000
Sm2 0.0000 0.5000 0.5000
Sm3 0.5000 0.0000 0.5000
Sm4 0.5000 0.5000 0.0000
Er1 0.0000 0.0000 0.5000
Er2 0.0000 0.5000 0.0000
Er3 0.5000 0.0000 0.0000
Er4 0.5000 0.5000 0.5000
Mn1 0.2500 0.2500 0.2500
Mn2 0.2500 0.7500 0.7500
Mn3 0.7500 0.2500 0.7500
Mn4 0.7500 0.7500 0.2500
Cu1 0.2500 0.2500 0.7500
Cu2 0.2500 0.7500 0.2500
Cu3 0.7500 0.2500 0.2500
Cu4 0.7500 0.7500 0.7500

Values from the calculation:
Magnetic moment, Bohr magnetons per cell: 12.5
Uncorrected energy, eV per atom: -5.59


The following is a DFT calculation (PBE) of TbErMnCu after structural relaxation.

a = 6.9850 Å, b = 6.9850 Å, c = 6.9850 Å
α = 90.00°, β = 90.00°, γ = 90.00°
Atoms (fractional coordinates):
Tb1 0.0000 0.0000 0.0000
Tb2 0.0000 0.5000 0.5000
Tb3 0.5000 0.0000 0.5000
Tb4 0.5000 0.5000 0.0000
Er1 0.0000 0.0000 0.5000
Er2 0.0000 0.5000 0.0000
Er3 0.5000 0.0000 0.0000
Er4 0.5000 0.5000 0.5000
Mn1 0.2500 0.2500 0.2500
Mn2 0.2500 0.7500 0.7500
Mn3 0.7500 0.2500 0.7500
Mn4 0.7500 0.7500 0.2500
Cu1 0.2500 0.2500 0.7500
Cu2 0.2500 0.7500 0.2500
Cu3 0.7500 0.2500 0.2500
Cu4 0.7500 0.7500 0.7500

Values from the calculation:
Magnetic moment, Bohr magnetons per cell: 12.7
Uncorrected energy, eV per atom: -5.59


The following is a DFT calculation (PBE) of ErThMnCu after structural relaxation.

a = 7.0011 Å, b = 7.0011 Å, c = 7.0011 Å
α = 90.00°, β = 90.00°, γ = 90.00°
Atoms (fractional coordinates):
Er1 0.0000 0.0000 0.0000
Er2 0.0000 0.5000 0.5000
Er3 0.5000 0.0000 0.5000
Er4 0.5000 0.5000 0.0000
Th1 0.0000 0.0000 0.5000
Th2 0.0000 0.5000 0.0000
Th3 0.5000 0.0000 0.0000
Th4 0.5000 0.5000 0.5000
Mn1 0.2500 0.2500 0.7500
Mn2 0.2500 0.7500 0.2500
Mn3 0.7500 0.2500 0.2500
Mn4 0.7500 0.7500 0.7500
Cu1 0.2500 0.2500 0.2500
Cu2 0.2500 0.7500 0.7500
Cu3 0.7500 0.2500 0.7500
Cu4 0.7500 0.7500 0.2500

Values from the calculation:
Magnetic moment, Bohr magnetons per cell: 7.6
Uncorrected energy, eV per atom: -6.28


The following is a DFT calculation (PBE) of ErTmMnCu after structural relaxation.

a = 6.9234 Å, b = 6.9234 Å, c = 6.9234 Å
α = 90.00°, β = 90.00°, γ = 90.00°
Atoms (fractional coordinates):
Er1 0.0000 0.0000 0.0000
Er2 0.0000 0.5000 0.5000
Er3 0.5000 0.0000 0.5000
Er4 0.5000 0.5000 0.0000
Tm1 0.0000 0.0000 0.5000
Tm2 0.0000 0.5000 0.0000
Tm3 0.5000 0.0000 0.0000
Tm4 0.5000 0.5000 0.5000
Mn1 0.2500 0.2500 0.2500
Mn2 0.2500 0.7500 0.7500
Mn3 0.7500 0.2500 0.7500
Mn4 0.7500 0.7500 0.2500
Cu1 0.2500 0.2500 0.7500
Cu2 0.2500 0.7500 0.2500
Cu3 0.7500 0.2500 0.2500
Cu4 0.7500 0.7500 0.7500

Values from the calculation:
Magnetic moment, Bohr magnetons per cell: 13.2
Uncorrected energy, eV per atom: -5.57


The following is a DFT calculation (PBE) of YErMnCu after structural relaxation.

a = 6.9911 Å, b = 6.9911 Å, c = 6.9911 Å
α = 90.00°, β = 90.00°, γ = 90.00°
Atoms (fractional coordinates):
Y1 0.0000 0.0000 0.0000
Y2 0.0000 0.5000 0.5000
Y3 0.5000 0.0000 0.5000
Y4 0.5000 0.5000 0.0000
Er1 0.0000 0.0000 0.5000
Er2 0.0000 0.5000 0.0000
Er3 0.5000 0.0000 0.0000
Er4 0.5000 0.5000 0.5000
Mn1 0.2500 0.2500 0.7500
Mn2 0.2500 0.7500 0.2500
Mn3 0.7500 0.2500 0.2500
Mn4 0.7500 0.7500 0.7500
Cu1 0.2500 0.2500 0.2500
Cu2 0.2500 0.7500 0.7500
Cu3 0.7500 0.2500 0.7500
Cu4 0.7500 0.7500 0.2500

Values from the calculation:
Magnetic moment, Bohr magnetons per cell: 13.0
Uncorrected energy, eV per atom: -6.05


The following is a DFT calculation (PBE) of Er2MnZn3Cu12 after structural relaxation.

a = 9.5462 Å, b = 9.5462 Å, c = 9.5462 Å
α = 37.84°, β = 37.84°, γ = 37.84°
Atoms (fractional coordinates):
Er1 0.1428 0.1428 0.1428
Er2 0.8572 0.8572 0.8572
Mn1 0.5000 0.5000 0.5000
Zn1 0.0000 0.5000 0.5000
Zn2 0.5000 0.0000 0.5000
Zn3 0.5000 0.5000 0.0000
Cu1 0.0787 0.6141 0.6141
Cu2 0.0812 0.0812 0.6969
Cu3 0.0812 0.6969 0.0812
Cu4 0.3031 0.9188 0.9188
Cu5 0.3859 0.3859 0.9213
Cu6 0.3859 0.9213 0.3859
Cu7 0.6141 0.0787 0.6141
Cu8 0.6141 0.6141 0.0787
Cu9 0.6969 0.0812 0.0812
Cu10 0.9188 0.3031 0.9188
Cu11 0.9188 0.9188 0.3031
Cu12 0.9213 0.3859 0.3859

Values from the calculation:
Magnetic moment, Bohr magnetons per cell: 3.8
Uncorrected energy, eV per atom: -3.80